DFT (PBE-GGA) results for an optimized crystal structure of SrSi2PtRh.

* formation energy from raw total energies: -0.882 eV per atom
* V: 18.17 Å³/atom
* DFT total energy: -60.7 eV/cell
* DOS(E_F): 5.57 states/eV per cell

abc: 4.1689 4.1689 10.4531
angles: 90.00 90.00 90.00
With the nearest neighbours (Å) after each atom.
Space group I-4m2 (No. 119)
Symmetry-distinct sites (fractional):
1 Sr 0.0000 0.0000 0.0000 (multiplicity 2)  8 Si 3.23, 4 Pt 3.34, 4 Rh 3.34
2 Si 0.0000 0.0000 0.3744 (multiplicity 4)  2 Rh 2.46, 2 Pt 2.46, 1 Si 2.63
3 Pt 0.0000 0.5000 0.7500 (multiplicity 2)  4 Si 2.46
4 Rh 0.0000 0.5000 0.2500 (multiplicity 2)  4 Si 2.46